1.
Computed, not measured: crystalline KSrErF6 at its relaxed geometry at the GGA-PBE level of DFT.

Output
Formation energy (no corrections)   -3745 meV/atom
Crystal system   trigonal

The structure in extended XYZ format:
```
18
Lattice="6.3515 0.0000 0.0000 -3.1757 5.5005 0.0000 0.0000 0.0000 10.0886" Properties=species:S:1:pos:R:3 pbc="T T T"
K 0.0000 0.0000 0.0000
K 0.0000 0.0000 5.0443
Sr 0.0000 3.6670 2.5221
Sr 3.1757 1.8335 7.5664
Er 0.0000 3.6670 7.5664
Er 3.1757 1.8335 2.5221
F -1.0149 2.1058 6.4445
F -1.8595 3.5687 8.6884
F 1.0149 2.1058 8.6884
F -0.8446 5.3265 6.4445
F 2.3311 0.1740 1.4002
F 1.3162 1.9318 3.6441
F 1.8595 3.5687 6.4445
F 0.8446 5.3265 8.6884
F 4.0204 0.1740 3.6441
F 2.1609 3.3948 1.4002
F 5.0352 1.9318 1.4002
F 4.1906 3.3948 3.6441
```

2.
Computed, not measured: crystalline NiMo2Au at its relaxed geometry at the GGA-PBE level of DFT.

Output
Formation enthalpy at 0 K   0.5 eV per formula unit
Crystal system   orthorhombic
Energy above the lowest structure with this stoichiometry   0.0000 eV/atom

The structure in extended XYZ format:
```
4
Lattice="1.7375 -2.0864 0.0000 1.7375 2.0864 0.0000 0.0000 0.0000 8.3767" Properties=species:S:1:pos:R:3 pbc="T T T"
Ni 0.0000 0.0000 0.0000
Mo 0.0000 0.0000 4.0311
Mo 1.7375 0.0000 1.8066
Au 1.7375 0.0000 6.3098
```

3.
Computed, not measured: crystalline Zr3PaH at its relaxed geometry at the GGA-PBE level of DFT.

Output
Crystal system   cubic

The structure in extended XYZ format:
```
5
Lattice="4.5969 0.0000 0.0000 0.0000 4.5969 0.0000 0.0000 0.0000 4.5969" Properties=species:S:1:pos:R:3 pbc="T T T"
Zr 0.0000 0.0000 2.2984
Zr 0.0000 2.2984 0.0000
Zr 2.2984 0.0000 0.0000
Pa 2.2984 2.2984 2.2984
H 0.0000 0.0000 0.0000
```

4.
Computed, not measured: crystalline FeHgW3 at its relaxed geometry at the GGA-PBE level of DFT.

Output
Formation enthalpy at 0 K   6.8 eV per formula unit
Crystal system   cubic
Energy above the lowest structure with this stoichiometry   0.0000 eV/atom

The structure in extended XYZ format:
```
5
Lattice="4.4979 0.0000 0.0000 0.0000 4.4979 0.0000 0.0000 0.0000 4.4979" Properties=species:S:1:pos:R:3 pbc="T T T"
Fe 0.0000 0.0000 0.0000
Hg 2.2489 2.2489 2.2489
W 0.0000 0.0000 2.2489
W 0.0000 2.2489 0.0000
W 2.2489 0.0000 0.0000
```

5.
Computed, not measured: crystalline Y5TlCo2 at its relaxed geometry at the GGA-PBE level of DFT.

Output
Formation enthalpy at 0 K   -1.9 eV per formula unit
Crystal system   tetragonal

The structure in extended XYZ format:
```
16
Lattice="-3.8166 3.8166 6.8183 3.8166 -3.8166 6.8183 3.8166 3.8166 -6.8183" Properties=species:S:1:pos:R:3 pbc="T T T"
Y 0.0000 0.0000 0.0000
Y 5.0493 1.2327 -1.7878
Y 1.2327 2.5839 -1.7878
Y 5.0493 1.2327 1.7878
Y 1.2327 2.5839 1.7878
Y 0.0000 0.0000 6.8183
Y 2.5839 1.2327 5.0305
Y -1.2327 2.5839 5.0305
Y 2.5839 1.2327 8.6061
Y -1.2327 2.5839 8.6061
Tl 0.0000 0.0000 3.4092
Tl 0.0000 0.0000 10.2275
Co 2.8065 1.0101 0.0000
Co 2.8065 -1.0101 6.8183
Co 1.0101 4.8267 0.0000
Co 1.0101 2.8065 6.8183
```

6.
Computed, not measured: crystalline Pm8ErGa6 at its relaxed geometry at the GGA-PBE level of DFT.

Output
Formation enthalpy at 0 K   -5.4 eV per formula unit
Crystal system   trigonal

The structure in extended XYZ format:
```
15
Lattice="4.3989 2.5397 6.2874 -4.3989 2.5397 6.2874 0.0000 -5.0795 6.2874" Properties=species:S:1:pos:R:3 pbc="T T T"
Pm -2.9307 -0.0020 7.3035
Pm 0.0000 0.0000 3.1295
Pm -1.4636 -2.5390 11.5587
Pm 1.4670 -2.5370 7.3035
Pm -1.4670 2.5370 11.5587
Pm 1.4636 2.5390 7.3035
Pm 0.0000 0.0000 15.7327
Pm 2.9307 0.0020 11.5587
Er 0.0000 0.0000 9.4311
Ga -1.4413 -2.4921 8.3768
Ga -2.8788 0.0022 10.4854
Ga -1.4375 2.4942 8.3768
Ga 1.4375 -2.4942 10.4854
Ga 2.8788 -0.0022 8.3768
Ga 1.4413 2.4921 10.4854
```

7.
Computed, not measured: crystalline BeCd8 at its relaxed geometry at the GGA-PBE level of DFT.

Output
Formation enthalpy at 0 K   1.6 eV per formula unit
Crystal system   tetragonal

The structure in extended XYZ format:
```
9
Lattice="-4.6336 4.6336 2.1951 4.6336 -4.6336 2.1951 4.6336 4.6336 -2.1951" Properties=species:S:1:pos:R:3 pbc="T T T"
Be 0.0000 0.0000 0.0000
Cd 3.0115 0.0000 0.0000
Cd 6.2557 0.0000 0.0000
Cd 0.0000 3.0115 0.0000
Cd 3.1540 3.1540 0.0000
Cd 1.4796 -1.4796 2.1951
Cd -1.4796 1.4796 2.1951
Cd 1.4796 1.4796 2.1951
Cd 0.0000 6.2557 0.0000
```

8.
Computed, not measured: crystalline Ac3GePd3 at its relaxed geometry at the GGA-PBE level of DFT.

Output
Formation enthalpy at 0 K   -5.7 eV per formula unit
Crystal system   orthorhombic
Energy above the lowest structure with this stoichiometry   0.0000 eV/atom

The structure in extended XYZ format:
```
7
Lattice="-2.1850 2.2313 9.7786 2.1850 -2.2313 9.7786 2.1850 2.2313 -9.7786" Properties=species:S:1:pos:R:3 pbc="T T T"
Ac 0.0000 0.0000 0.0000
Ac 0.0000 0.0000 7.0690
Ac 0.0000 2.2313 3.5146
Ge 2.1850 0.0000 4.7658
Pd 2.1850 0.0000 2.2490
Pd 0.0000 0.0000 10.2846
Pd 0.0000 0.0000 16.0453
```

9.
Computed, not measured: crystalline La2PaSe6 at its relaxed geometry at the GGA-PBE level of DFT.

Output
Formation energy (no corrections)   -1491 meV/atom
Crystal system   tetragonal

The structure in extended XYZ format:
```
18
Lattice="6.8386 0.0000 0.0000 0.0000 6.8386 0.0000 0.0000 0.0000 13.3016" Properties=species:S:1:pos:R:3 pbc="T T T"
La 0.0000 0.0000 2.2394
La 0.0000 0.0000 11.0622
La 3.4193 3.4193 4.4114
La 3.4193 3.4193 8.8902
Pa 0.0000 0.0000 6.6508
Pa 3.4193 3.4193 0.0000
Se 1.3097 1.3097 4.6014
Se 1.3097 1.3097 8.7002
Se 1.4457 1.4457 0.0000
Se 1.9736 4.8650 6.6508
Se 2.1096 4.7290 2.0494
Se 2.1096 4.7290 11.2522
Se 4.7290 2.1096 2.0494
Se 4.7290 2.1096 11.2522
Se 4.8650 1.9736 6.6508
Se 5.3929 5.3929 0.0000
Se 5.5289 5.5289 4.6014
Se 5.5289 5.5289 8.7002
```

10.
Computed, not measured: crystalline SrRu3 at its relaxed geometry at the GGA-PBE level of DFT.

Output
Formation enthalpy at 0 K   2.9 eV per formula unit
Crystal system   hexagonal

The structure in extended XYZ format:
```
4
Lattice="2.8688 0.0000 0.0000 -1.4344 2.4844 0.0000 0.0000 0.0000 9.5840" Properties=species:S:1:pos:R:3 pbc="T T T"
Sr 0.0000 0.0000 0.0000
Ru 0.0000 0.0000 4.7920
Ru 0.0000 1.6563 2.7528
Ru 0.0000 1.6563 6.8311
```

11.
Computed, not measured: crystalline Sr2CrW at its relaxed geometry at the GGA-PBE level of DFT.

Output
Formation enthalpy at 0 K   3.5 eV per formula unit
Crystal system   orthorhombic
Energy above the lowest structure with this stoichiometry   0.1869 eV/atom

The structure in extended XYZ format:
```
4
Lattice="-1.8035 2.8270 5.3972 1.8035 -2.8270 5.3972 1.8035 2.8270 -5.3972" Properties=species:S:1:pos:R:3 pbc="T T T"
Sr 0.0000 0.0000 0.0000
Sr 0.0000 2.8270 2.1917
Cr 0.0000 0.0000 4.5858
W 1.8035 0.0000 3.1132
```

12.
Computed, not measured: crystalline V2Mo8W3 at its relaxed geometry at the GGA-PBE level of DFT.

Output
Formation enthalpy at 0 K   6.0 eV per formula unit
Crystal system   orthorhombic
Energy above the lowest structure with this stoichiometry   0.0000 eV/atom

The structure in extended XYZ format:
```
13
Lattice="4.6871 -7.4202 0.0000 4.6871 7.4202 0.0000 0.0000 0.0000 3.0808" Properties=species:S:1:pos:R:3 pbc="T T T"
V 4.6871 4.1793 0.0000
V 4.6871 -4.1793 0.0000
Mo 4.6871 6.1869 1.5404
Mo 2.3880 2.2906 0.0000
Mo 4.6871 2.1684 1.5404
Mo 2.3880 -2.2906 0.0000
Mo 6.9862 2.2906 0.0000
Mo 4.6871 -2.1684 1.5404
Mo 6.9862 -2.2906 0.0000
Mo 4.6871 -6.1869 1.5404
W 2.4547 0.0000 1.5404
W 4.6871 0.0000 0.0000
W 6.9195 0.0000 1.5404
```

In order of appearance, electronic total energy = -0.4269; -0.5561; -0.5659; -0.5998; -0.4663; -0.3241; -0.0775; -0.4018; -0.4384; -0.4886; -0.4124; -0.7786 Ry/atom.